No. 1
Density functional theory data (PBE) for BaMn3Ru after structural relaxation.

Geometry as POSCAR:
```
BaMn3Ru
1.0
4.9502 0.0000 0.0000
0.0000 4.9502 0.0000
0.0000 0.0000 4.9502
Ba Mn Ru
1 3 1
Cartesian
0.0000 0.0000 0.0000
0.0000 2.4751 2.4751
2.4751 0.0000 2.4751
2.4751 2.4751 0.0000
2.4751 2.4751 2.4751
```

Output
The calculated formation energy is 0.67 eV per atom. For the offset from the most stable computed form, the calculation gives 0.000 eV/atom.

No. 2
Density functional theory data (PBE) for BaMn2Ru after structural relaxation.

Geometry as POSCAR:
```
BaMn2Ru
1.0
3.2038 0.0000 0.0000
0.0000 4.3708 0.0000
-1.5117 0.0000 6.1385
Ba Mn Ru
1 2 1
Cartesian
0.0000 0.0000 0.0000
-0.0388 2.1854 3.7464
1.7310 2.1854 2.3922
0.8461 0.0000 3.0693
```

Output
The calculated formation energy is 0.80 eV per atom. For the offset from the most stable computed form, the calculation gives 0.446 eV/atom.

No. 3
Density functional theory data (PBE) for Ba2MnRu after structural relaxation.

Geometry as POSCAR:
```
Ba2MnRu
1.0
-2.0904 2.4499 6.7357
2.0904 -2.4499 6.7357
2.0904 2.4499 -6.7357
Ba Mn Ru
2 1 1
Cartesian
0.0000 0.0000 0.0000
0.0000 2.4499 3.2325
2.0904 0.0000 4.3221
0.0000 0.0000 5.4595
```

Output
The calculated formation energy is 0.44 eV per atom. For the offset from the most stable computed form, the calculation gives 0.169 eV/atom.

No. 4
Density functional theory data (PBE) for BaMnRu2 after structural relaxation.

Geometry as POSCAR:
```
BaMnRu2
1.0
0.0000 3.2955 3.2955
3.2955 0.0000 3.2955
3.2955 3.2955 0.0000
Ba Mn Ru
1 1 2
Cartesian
0.0000 0.0000 0.0000
3.2955 3.2955 3.2955
1.6477 1.6477 1.6477
4.9432 4.9432 4.9432
```

Output
The calculated formation energy is 1.31 eV per atom. For the offset from the most stable computed form, the calculation gives 0.988 eV/atom.

No. 5
Density functional theory data (PBE) for BaMnRu2 after structural relaxation.

Geometry as POSCAR:
```
BaMnRu2
1.0
-2.5492 2.5492 7.6577
2.5492 -2.5492 7.6577
2.5492 2.5492 -7.6577
Ba Mn Ru
2 2 4
Cartesian
2.5492 1.2746 1.9144
0.0000 1.2746 5.7433
2.5492 -1.2746 5.7433
0.0000 3.8238 1.9144
0.0000 0.0000 0.0000
1.2746 1.2746 -3.8288
1.2746 -1.2746 3.8288
0.0000 2.5492 0.0000
```

Output
The calculated formation energy is 0.87 eV per atom. For the offset from the most stable computed form, the calculation gives 0.548 eV/atom.

No. 6
Density functional theory data (PBE) for BaMnRu2 after structural relaxation.

Geometry as POSCAR:
```
BaMnRu2
1.0
2.9907 -4.6434 0.0000
2.9907 4.6434 0.0000
-1.3491 0.0000 2.7173
Ba Mn Ru
1 1 2
Cartesian
0.0000 0.0000 0.0000
2.9907 0.0000 0.0000
0.8208 2.3217 1.3586
0.8208 -2.3217 1.3586
```

Output
The calculated formation energy is 1.05 eV per atom. For the offset from the most stable computed form, the calculation gives 0.731 eV/atom.

No. 7
Density functional theory data (PBE) for BaMnRu3 after structural relaxation.

Geometry as POSCAR:
```
BaMnRu3
1.0
4.6079 0.0000 0.0000
0.0000 4.6079 0.0000
0.0000 0.0000 4.6079
Ba Mn Ru
1 1 3
Cartesian
0.0000 0.0000 0.0000
2.3039 2.3039 2.3039
0.0000 2.3039 2.3039
2.3039 0.0000 2.3039
2.3039 2.3039 0.0000
```

Output
The calculated formation energy is 0.88 eV per atom. For the offset from the most stable computed form, the calculation gives 0.000 eV/atom.

No. 8
Density functional theory data (PBE) for BaMnRuW2 after structural relaxation.

Geometry as POSCAR:
```
BaMnRuW2
1.0
4.7488 0.0000 0.0000
0.0000 4.7488 0.0000
0.0000 0.0000 5.6006
Ba Mn Ru W
1 1 1 2
Cartesian
0.0000 0.0000 0.0000
2.3744 2.3744 0.0000
0.0000 0.0000 2.8003
0.0000 2.3744 2.8003
2.3744 0.0000 2.8003
```

Output
The calculated formation energy is 2.26 eV per atom.

No. 9
Density functional theory data (PBE) for Ba2Mn2S5 after structural relaxation.

Geometry as POSCAR:
```
Ba2Mn2S5
1.0
4.7513 0.0000 0.0000
0.0000 4.7513 0.0000
0.0000 0.0000 9.6347
Ba Mn S
2 2 5
Cartesian
0.0000 0.0000 0.0000
0.0000 0.0000 4.8174
2.3757 2.3757 2.3059
2.3757 2.3757 7.3288
0.0000 2.3757 2.6639
0.0000 2.3757 6.9709
2.3757 0.0000 2.6639
2.3757 0.0000 6.9709
2.3757 2.3757 0.0000
```

Output
For the offset from the most stable computed form, the calculation gives 0.003 eV/atom. Its formation energy (no corrections) is -10.686 eV per formula unit.

No. 10
Density functional theory data (PBE) for Ba4MnS2 after structural relaxation.

Geometry as POSCAR:
```
Ba4MnS2
1.0
-2.8073 2.8073 8.3014
2.8073 -2.8073 8.3014
2.8073 2.8073 -8.3014
Ba Mn S
4 1 2
Cartesian
2.8073 0.0000 0.0000
0.0000 0.0000 3.1313
0.0000 2.8073 0.0000
0.0000 0.0000 13.4714
0.0000 0.0000 0.0000
0.0000 0.0000 6.1346
0.0000 0.0000 10.4681
```

Output
Its formation energy (no corrections) is -3.193 eV per formula unit.

No. 11
Density functional theory data (PBE) for BaMn2S2 after structural relaxation.

Geometry as POSCAR:
```
BaMn2S2
1.0
-2.3870 2.3870 4.8520
2.3870 -2.3870 4.8520
2.3870 2.3870 -4.8520
Ba Mn S
1 2 2
Cartesian
0.0000 0.0000 0.0000
0.0000 0.0000 3.3944
0.0000 0.0000 6.3097
2.3870 0.0000 2.4260
0.0000 2.3870 2.4260
```

Output
Its formation energy (no corrections) is -3.044 eV per formula unit.

No. 12
Density functional theory data (PBE) for Ba2MnS2 after structural relaxation.

Geometry as POSCAR:
```
Ba2MnS2
1.0
5.1118 0.0000 0.0000
0.0000 5.1118 0.0000
0.0000 0.0000 5.0368
Ba Mn S
2 1 2
Cartesian
0.0000 0.0000 0.0000
2.5559 2.5559 0.0000
0.0000 0.0000 2.5184
0.0000 2.5559 2.5184
2.5559 0.0000 2.5184
```

Output
Its formation energy (no corrections) is -2.232 eV per formula unit.

No. 13
Density functional theory data (PBE) for Ba5MnS8 after structural relaxation.

Geometry as POSCAR:
```
Ba5MnS8
1.0
-4.4837 4.4837 5.6773
4.4837 -4.4837 5.6773
4.4837 4.4837 -5.6773
Ba Mn S
5 1 8
Cartesian
0.0000 0.0000 0.0000
2.5071 -1.1713 4.3655
3.3124 1.9766 1.3118
1.9766 5.6550 -1.3118
1.1713 2.5071 6.9891
0.0000 4.4837 2.8387
4.1241 1.7924 -1.8013
0.9964 2.6064 -1.2396
6.3610 0.9964 1.2396
3.4873 1.8773 4.4377
2.6913 -0.3596 7.4787
0.3596 2.6913 3.8760
1.7924 4.8433 1.8013
-1.8773 3.4873 6.9169
```

Output
Its formation energy (no corrections) is -18.722 eV per formula unit.

No. 14
Density functional theory data (PBE) for Ba3MnS after structural relaxation.

Geometry as POSCAR:
```
Ba3MnS
1.0
6.1183 0.0000 0.0000
0.0000 6.1183 0.0000
0.0000 0.0000 6.1183
Ba Mn S
3 1 1
Cartesian
0.0000 0.0000 3.0592
0.0000 3.0592 0.0000
3.0592 0.0000 0.0000
3.0592 3.0592 3.0592
0.0000 0.0000 0.0000
```

Output
For the offset from the most stable computed form, the calculation gives 0.000 eV/atom. Its formation energy (no corrections) is -1.736 eV per formula unit.

No. 15
Density functional theory data (PBE) for Ba3Mn5S12 after structural relaxation.

Geometry as POSCAR:
```
Ba3Mn5S12
1.0
-7.7770 7.7770 7.7770
7.7770 -7.7770 7.7770
7.7770 7.7770 -7.7770
Ba Mn S
12 20 48
Cartesian
3.8885 1.9443 0.0000
7.7770 3.8885 -1.9443
1.9443 0.0000 3.8885
9.7213 0.0000 3.8885
0.0000 3.8885 1.9443
3.8885 -1.9443 7.7770
3.8885 9.7213 0.0000
7.7770 3.8885 5.8328
-1.9443 7.7770 3.8885
5.8328 7.7770 3.8885
0.0000 3.8885 9.7213
3.8885 5.8328 7.7770
0.0000 0.0000 0.0000
3.8885 3.8885 -3.8885
3.8885 -3.8885 3.8885
7.7770 0.0000 0.0000
11.6655 1.9443 0.0000
7.7770 -3.8885 5.8328
5.8328 7.7770 -3.8885
5.8328 0.0000 3.8885
3.8885 5.8328 0.0000
7.7770 3.8885 1.9443
-3.8885 3.8885 3.8885
0.0000 7.7770 0.0000
0.0000 0.0000 7.7770
3.8885 3.8885 3.8885
0.0000 3.8885 5.8328
3.8885 1.9443 7.7770
1.9443 7.7770 3.8885
1.9443 0.0000 11.6655
0.0000 11.6655 1.9443
-3.8885 5.8328 7.7770
2.2439 -0.6228 0.7209
9.4216 4.6094 -4.5114
10.0210 0.6228 0.7209
9.4216 -3.1677 4.5114
7.1542 -0.7209 2.2439
12.2884 -1.6446 3.1677
0.7209 2.2439 -0.6228
10.9447 3.2657 -1.6446
4.6094 4.5114 -1.6446
7.0562 2.2439 0.6228
-0.6228 0.7209 2.2439
4.5114 -1.6446 4.6094
7.1542 7.0562 -2.2439
4.5114 1.6446 3.1677
4.6094 -4.5114 9.4216
7.0562 -2.2439 7.1542
3.1677 4.5114 1.6446
8.4979 5.5331 0.6228
4.5114 9.4216 -3.1677
7.1542 0.7209 5.5331
2.2439 7.1542 -0.7209
9.4216 3.1677 3.2657
1.6446 3.1677 4.5114
2.2439 0.6228 7.0562
5.5331 7.1542 0.7209
6.1325 4.6094 3.2657
-1.6446 4.6094 4.5114
5.5331 0.6228 8.4979
0.6228 7.0562 2.2439
3.2657 -1.6446 10.9447
-0.7209 2.2439 7.1542
4.6094 3.2657 6.1325
0.7209 10.0210 0.6228
3.1677 12.2884 -1.6446
3.2657 6.1325 4.6094
0.6228 0.7209 10.0210
3.2657 9.4216 3.1677
8.3999 7.0562 5.5331
0.7209 5.5331 7.1542
3.1677 3.2657 9.4216
-3.1677 4.5114 9.4216
7.0562 5.5331 8.3999
-4.5114 9.4216 4.6094
0.6228 8.4979 5.5331
-1.6446 10.9447 3.2657
-2.2439 7.1542 7.0562
-1.6446 3.1677 12.2884
5.5331 8.3999 7.0562
```

Output
Its formation energy (no corrections) is -17.552 eV per formula unit.

No. 16
Density functional theory data (PBE) for Ba2Mn2S5 after structural relaxation.

Geometry as POSCAR:
```
Ba2Mn2S5
1.0
6.5913 -2.0997 0.0000
6.5913 2.0997 0.0000
-0.5340 0.0000 8.0553
Ba Mn S
2 2 5
Cartesian
0.8952 0.0000 2.3934
11.7535 0.0000 5.6618
4.3743 0.0000 0.9628
8.2743 0.0000 7.0925
2.8326 0.0000 6.8482
5.0372 0.0000 3.1244
6.5913 0.0000 0.0000
7.6114 0.0000 4.9308
9.8161 0.0000 1.2070
```

Output
For the offset from the most stable computed form, the calculation gives 0.000 eV/atom. Its formation energy (no corrections) is -10.709 eV per formula unit.

No. 17
Density functional theory data (PBE) for Ba2ScMnS5 after structural relaxation.

Geometry as POSCAR:
```
Ba2ScMnS5
1.0
2.0249 -8.9559 0.0000
2.0249 8.9559 0.0000
0.0000 0.0000 12.7541
Ba Sc Mn S
4 2 2 10
Cartesian
2.0249 6.7094 6.3771
2.0249 6.6617 1.7300
2.0249 -6.6617 8.1071
2.0249 -6.7094 0.0000
2.0249 5.3204 10.6620
2.0249 -5.3204 4.2849
2.0249 1.1287 3.1110
2.0249 -1.1287 9.4881
2.0249 8.0790 10.5631
2.0249 3.5576 5.9399
2.0249 3.3606 2.4715
2.0249 2.8605 10.4462
2.0249 0.0647 1.1483
2.0249 -0.0647 7.5253
2.0249 -2.8605 4.0691
2.0249 -3.3606 8.8486
2.0249 -3.5576 12.3170
2.0249 -8.0790 4.1861
```

Output
Its formation energy (no corrections) is -14.475 eV per formula unit.

No. 18
Density functional theory data (PBE) for BaSr2MnS4 after structural relaxation.

Geometry as POSCAR:
```
BaSr2MnS4
1.0
2.1160 -7.0886 0.0000
2.1160 7.0886 0.0000
0.0000 0.0000 14.6348
Ba Sr Mn S
2 4 2 8
Cartesian
2.1160 5.5232 10.9761
2.1160 -5.5232 3.6587
2.1160 1.8557 8.0667
2.1160 1.8557 13.8855
2.1160 -1.8557 0.7493
2.1160 -1.8557 6.5681
2.1160 4.8084 3.6587
2.1160 -4.8084 10.9761
0.0000 0.0000 0.0000
0.0000 0.0000 7.3174
2.1160 3.3004 1.8446
2.1160 3.3004 5.4728
2.1160 0.9630 10.9761
2.1160 -0.9630 3.6587
2.1160 -3.3004 9.1620
2.1160 -3.3004 12.7902
```

Output
Its formation energy (no corrections) is -13.834 eV per formula unit.

No. 19
Density functional theory data (PBE) for BaTa2MnS8 after structural relaxation.

Geometry as POSCAR:
```
BaTa2MnS8
1.0
3.1517 1.8197 7.7812
-3.1517 1.8197 7.7812
0.0000 -3.6393 7.7812
Ba Ta Mn S
1 2 1 8
Cartesian
0.0000 0.0000 0.0000
0.0000 0.0000 4.7000
0.0000 0.0000 18.6436
0.0000 0.0000 11.6718
-0.6860 -1.9438 10.5364
-2.0264 -0.3778 12.8073
0.0000 0.0000 6.9949
-1.3403 1.5660 10.5364
1.3403 -1.5660 12.8073
0.0000 0.0000 16.3488
2.0264 0.3778 10.5364
0.6860 1.9438 12.8073
```

Output
Its formation energy (no corrections) is -11.417 eV per formula unit.

No. 20
Density functional theory data (PBE) for BaTaMnS6 after structural relaxation.

Geometry as POSCAR:
```
BaTaMnS6
1.0
6.2632 0.0000 0.0000
-3.1316 5.4241 0.0000
0.0000 0.0000 6.7353
Ba Ta Mn S
1 1 1 6
Cartesian
0.0000 0.0000 0.0000
0.0000 3.6161 3.3675
3.1316 1.8080 3.3630
2.6064 0.0667 4.8198
1.3625 2.2298 1.9069
3.6509 0.0650 1.9069
1.8861 3.1335 4.8198
4.9023 2.2239 4.8198
4.3814 3.1293 1.9069
```

Output
Its formation energy (no corrections) is -8.153 eV per formula unit.

No. 21
Density functional theory data (PBE) for Ba2TbMnS5 after structural relaxation.

Geometry as POSCAR:
```
Ba2TbMnS5
1.0
2.0788 -9.0319 0.0000
2.0788 9.0319 0.0000
0.0000 0.0000 12.9634
Ba Tb Mn S
4 2 2 10
Cartesian
2.0788 6.7821 6.4817
2.0788 6.7593 1.8737
2.0788 -6.7593 8.3554
2.0788 -6.7821 0.0000
2.0788 5.4280 10.8631
2.0788 -5.4280 4.3814
2.0788 1.0657 3.0244
2.0788 -1.0657 9.5061
2.0788 8.3113 10.4671
2.0788 3.5364 6.1657
2.0788 3.3366 2.4501
2.0788 2.7960 10.6671
2.0788 0.0184 1.0618
2.0788 -0.0184 7.5434
2.0788 -2.7960 4.1854
2.0788 -3.3366 8.9318
2.0788 -3.5364 12.6474
2.0788 -8.3113 3.9854
```

Output
Its formation energy (no corrections) is -14.993 eV per formula unit.